BaPrTe2S6: relaxed, GGA-PBE.

Unit cell a=6.784 b=7.296 c=7.929 alpha=93.70 beta=115.24 gamma=118.77
Sites, in units of the cell vectors:
Ba (0.026, 0.508, 0.533)
Pr (0.003, 0.992, 0.990)
Te (0.575, 0.766, 0.344)
Te (0.578, 0.289, 0.873)
S (0.560, 0.995, 0.689)
S (0.508, 0.066, 0.133)
S (0.791, 0.702, 0.194)
S (0.133, 0.429, 0.174)
S (0.676, 0.574, 0.672)
S (0.117, 0.156, 0.701)

Summary:
E in eV for the cell shown: -46.14
E_form (uncorrected) in eV per atom: -0.8388
Fermi-level density of states in states/eV per atom: 0.1156

KRb2ZrBr8: relaxed, GGA-PBE.

Unit cell a=7.682 b=6.954 c=9.565 alpha=89.68 beta=90.18 gamma=90.29
Sites, in units of the cell vectors:
K (0.000, 0.000, 0.500)
Rb (0.500, 0.497, 0.768)
Rb (0.500, 0.503, 0.232)
Zr (0.000, 0.000, 0.000)
Br (0.112, 0.764, 0.201)
Br (0.696, 0.818, 0.997)
Br (0.884, 0.234, 0.198)
Br (0.888, 0.236, 0.799)
Br (0.304, 0.182, 0.003)
Br (0.116, 0.766, 0.802)
Br (0.593, 0.824, 0.501)
Br (0.407, 0.176, 0.499)

Summary:
E in eV for the cell shown: -41.89
E_form (uncorrected) in eV per atom: -1.4107

RbIn2Hg2: relaxed, GGA-PBE.

Unit cell a=4.891 b=4.891 c=7.485 alpha=70.93 beta=70.93 gamma=90.00
Sites, in units of the cell vectors:
Hg (0.388, 0.388, 0.224)
Hg (0.612, 0.612, 0.776)
Rb (0.000, 0.000, 0.000)
In (0.750, 0.250, 0.500)
In (0.250, 0.750, 0.500)

Summary:
Energy of formation from the pure elements in eV/atom: -0.141
E in eV for the cell shown: -7.75
Energy above the lowest structure with this stoichiometry in meV/atom: 0
Fermi-level density of states in states/eV per atom: 0.5198

NaTiNF2: relaxed, GGA-PBE.

Unit cell a=4.070 b=4.070 c=3.849 alpha=90.00 beta=90.00 gamma=90.00
Sites, in units of the cell vectors:
Na (0.500, 0.500, 0.500)
N (0.000, 0.000, 0.500)
F (0.000, 0.500, 0.000)
F (0.500, 0.000, 0.000)
Ti (0.000, 0.000, 0.000)

Summary:
E in eV for the cell shown: -31.69
Energy above the lowest structure with this stoichiometry in meV/atom: 0
E_form (uncorrected) in eV per atom: -2.0819
Fermi-level density of states in states/eV per atom: 0.1479

Sr3Ca2In4: relaxed, GGA-PBE.

Unit cell a=5.674 b=5.675 c=10.768 alpha=89.99 beta=90.00 gamma=120.00
Sites, in units of the cell vectors:
Sr (0.333, 0.667, 0.588)
Sr (0.000, 0.000, 0.000)
Sr (0.667, 0.333, 0.412)
Ca (0.333, 0.666, 0.212)
Ca (0.667, 0.334, 0.788)
In (0.667, 0.333, 0.097)
In (0.000, 0.001, 0.653)
In (0.000, 0.999, 0.347)
In (0.333, 0.667, 0.903)

Summary:
Energy of formation from the pure elements in eV/atom: -0.374
E in eV for the cell shown: -23.37
Fermi-level density of states in states/eV per atom: 0.7151

BaHg2F4: relaxed, GGA-PBE.

Unit cell a=5.612 b=5.612 c=5.612 alpha=104.38 beta=104.38 gamma=120.22
Sites, in units of the cell vectors:
Ba (0.500, 0.500, 0.000)
Hg (0.250, 0.750, 0.500)
Hg (0.750, 0.250, 0.500)
F (0.232, 0.233, 0.464)
F (0.767, 0.232, 0.999)
F (0.233, 0.768, 0.001)
F (0.768, 0.767, 0.536)

Summary:
E in eV for the cell shown: -23.54
E_form (uncorrected) in eV per atom: -1.9324
Fermi-level density of states in states/eV per atom: 0.2986

LiNp2CuO8: relaxed, GGA-PBE.

Unit cell a=5.269 b=5.269 c=6.483 alpha=113.98 beta=113.98 gamma=90.00
Sites, in units of the cell vectors:
Li (0.750, 0.250, 0.500)
Np (0.500, 0.500, 0.000)
Np (0.250, 0.750, 0.500)
Cu (0.000, 0.000, 0.000)
O (0.896, 0.883, 0.412)
O (0.516, 0.529, 0.412)
O (0.648, 0.772, 0.916)
O (0.269, 0.145, 0.916)
O (0.855, 0.352, 0.084)
O (0.228, 0.731, 0.084)
O (0.117, 0.484, 0.588)
O (0.471, 0.104, 0.588)

Summary:
E in eV for the cell shown: -96.72
E_form (uncorrected) in eV per atom: -2.0967
Fermi-level density of states in states/eV per atom: 0.0647

Cs3NaPt: relaxed, GGA-PBE.

Unit cell a=6.809 b=6.809 c=6.809 alpha=90.00 beta=90.00 gamma=90.00
Sites, in units of the cell vectors:
Cs (0.000, 0.500, 0.000)
Cs (0.000, 0.000, 0.500)
Cs (0.500, 0.000, 0.000)
Na (0.500, 0.500, 0.500)
Pt (0.000, 0.000, 0.000)

Summary:
Energy of formation from the pure elements in eV/atom: 0.007
E in eV for the cell shown: -9.89
Energy above the lowest structure with this stoichiometry in meV/atom: 0
Fermi-level density of states in states/eV per atom: 0.0000

SnIrOF2: relaxed, GGA-PBE.

Unit cell a=4.327 b=4.327 c=4.174 alpha=90.00 beta=90.00 gamma=90.00
Sites, in units of the cell vectors:
Ir (0.500, 0.500, 0.500)
Sn (0.000, 0.000, 0.000)
O (0.000, 0.000, 0.500)
F (0.000, 0.500, 0.000)
F (0.500, 0.000, 0.000)

Summary:
E in eV for the cell shown: -22.87
Energy above the lowest structure with this stoichiometry in meV/atom: 463
E_form (uncorrected) in eV per atom: -0.2613
Fermi-level density of states in states/eV per atom: 0.5121

Tm3Ga4Cu: relaxed, GGA-PBE.

Unit cell a=3.516 b=6.126 c=8.831 alpha=110.30 beta=101.48 gamma=90.00
Sites, in units of the cell vectors:
Tm (0.226, 0.226, 0.452)
Tm (0.774, 0.774, 0.548)
Tm (0.000, 0.500, 0.000)
Ga (0.383, 0.625, 0.766)
Ga (0.617, 0.375, 0.234)
Ga (0.617, 0.859, 0.234)
Ga (0.383, 0.141, 0.766)
Cu (0.500, 0.000, 0.000)

Summary:
Energy of formation from the pure elements in eV/atom: -0.328
E in eV for the cell shown: -32.24
Fermi-level density of states in states/eV per atom: 0.5568

BeAlSb2: relaxed, GGA-PBE.

Unit cell a=4.878 b=4.878 c=4.878 alpha=60.00 beta=60.00 gamma=60.00
Sites, in units of the cell vectors:
Sb (0.250, 0.250, 0.250)
Sb (0.750, 0.750, 0.750)
Al (0.500, 0.500, 0.500)
Be (0.000, 0.000, 0.000)

Summary:
E in eV for the cell shown: -13.70
Energy above the lowest structure with this stoichiometry in meV/atom: 423
E_form (uncorrected) in eV per atom: 0.5045
Fermi-level density of states in states/eV per atom: 0.4584

Mg4Sc5In: relaxed, GGA-PBE.

Unit cell a=3.599 b=3.599 c=17.758 alpha=90.00 beta=90.00 gamma=90.00
Sites, in units of the cell vectors:
Mg (0.000, 0.000, 0.200)
Mg (0.000, 0.000, 0.399)
Mg (0.000, 0.000, 0.601)
Mg (0.000, 0.000, 0.800)
Sc (0.500, 0.500, 0.100)
Sc (0.500, 0.500, 0.298)
Sc (0.500, 0.500, 0.500)
Sc (0.500, 0.500, 0.702)
Sc (0.500, 0.500, 0.900)
In (0.000, 0.000, 0.000)

Summary:
Energy of formation from the pure elements in eV/atom: -0.133
E in eV for the cell shown: -42.10
Fermi-level density of states in states/eV per atom: 1.1726